Below is ScGaCoNi after structural relaxation, with properties calculated at the PBE level.

a b c (Å): 4.258 4.258 4.258
angles (deg): 60.00 60.00 60.00
Element x y z (fractional)
Sc1 0.500 0.500 0.500
Ni1 0.250 0.250 0.250
Co1 0.750 0.750 0.750
Ga1 0.000 0.000 0.000

## Properties
formation energy: -1.92 eV/f.u.
E: -24.16 eV per cell
space-group type: F-43m